(1)
DFT (PBE) results for a relaxed structure of PmPu2F8.

The structure in POSCAR format:
```
PmPu2F8
1.0
-1.9533 3.2767 5.7653
1.9533 -3.2767 5.7653
1.9533 3.2767 -5.7653
Pm Pu F
1 2 8
direct
0.0000 0.0000 0.0000
0.3228 0.3228 0.0000
0.6772 0.6772 0.0000
0.1111 0.8434 0.2677
0.1340 0.6340 0.5000
0.3049 0.5000 0.8049
0.4244 0.1566 0.2677
0.5756 0.8434 0.7323
0.6951 0.5000 0.1951
0.8660 0.3660 0.5000
0.8889 0.1566 0.7323
```

Values from the calculation:
Offset from the most stable computed form (meV/atom): 0.0
Size of the total moment (Bohr magnetons per cell): 11.00
E_tot (eV per atom): -8.0006
Formation energy from raw total energies (eV per atom): -3.602

---

(2)
DFT (PBE) results for a relaxed structure of AgSbI2O.

The structure in POSCAR format:
```
AgSbI2O
1.0
5.5123 0.0000 0.0000
0.0000 5.5123 0.0000
0.0000 0.0000 5.4778
Ag Sb I O
1 1 2 1
direct
0.0000 0.0000 0.0000
0.0000 0.0000 0.5000
0.0000 0.5000 0.0000
0.5000 0.0000 0.0000
0.5000 0.5000 0.5000
```

Values from the calculation:
Offset from the most stable computed form (meV/atom): 1158.4
Size of the total moment (Bohr magnetons per cell): 0.00
E_tot (eV per atom): -2.0198
Formation energy from raw total energies (eV per atom): 0.987

---

(3)
DFT (PBE) results for a relaxed structure of Pm3Pr4Y2.

The structure in POSCAR format:
```
Pm3Pr4Y2
1.0
9.5865 -1.8470 0.0000
9.5865 1.8470 0.0000
-2.1421 0.0000 8.8691
Pm Pr Y
3 4 2
direct
0.0000 0.0000 0.0000
0.4060 0.4060 0.6664
0.5940 0.5940 0.3336
0.0751 0.0751 0.6679
0.3323 0.3323 0.9950
0.6677 0.6677 0.0050
0.9249 0.9249 0.3321
0.2594 0.2594 0.3363
0.7406 0.7406 0.6637
```

Values from the calculation:
Offset from the most stable computed form (meV/atom): 0.0
Size of the total moment (Bohr magnetons per cell): 0.00
E_form (eV/atom): 0.0027
E_tot (eV per atom): -5.1415